## Rb2CaCoBr6 (GGA-PBE)

Data for an optimized crystal structure of Rb2CaCoBr6.

Unit cell a=7.737 b=7.737 c=7.736 alpha=60.00 beta=60.00 gamma=90.00
Element x y z (fractional)
Ca: 0.500 0.500 0.000
Co: 0.000 0.000 0.000
Br: 0.237 0.237 0.525
Br: 0.763 0.763 0.475
Br: 0.237 0.237 0.000
Br: 0.763 0.763 0.000
Br: 0.763 0.237 0.000
Br: 0.237 0.763 0.000
Rb: 0.750 0.250 0.500
Rb: 0.250 0.750 0.500

Computed properties:
Its uncorrected formation energy is -1.347 eV per atom. As for the size of the total moment: 3.000 μB per cell. As for the space-group type: Fm-3m, No. 225.